(1)
A relaxed B3C crystal. Source: Alexandria via LeMat-Bulk, functional PBE.

Cell and atoms, written as POSCAR:
```
B3C
1.0
1.265 6.086 -0.786
-1.265 6.086 -0.786
0.000 0.909 5.209
C B
3 9
Direct
0.447 0.447 0.165
0.163 0.163 0.199
0.634 0.634 0.353
0.504 0.504 0.453
0.955 0.955 0.675
0.808 0.808 0.550
0.674 0.674 0.668
0.827 0.827 0.855
0.355 0.355 0.369
0.287 0.287 0.068
0.117 0.117 0.890
0.977 0.977 0.006
```

Calculated values
DOS(E_F)   1.89 states/eV/cell
M_tot   0.00 μB per formula unit
Total energy   -6.87 eV/atom
Calculated volume   82 Å³ per cell
Space group   Cm, No. 8
Relative energy among the computed polymorphs   19.4 kJ per mole of atoms

(2)
A relaxed B7C5 crystal. Source: Alexandria via LeMat-Bulk, functional PBE.

Cell and atoms, written as POSCAR:
```
B7C5
1.0
-1.464 -0.567 -2.111
1.424 -1.734 -0.522
-7.446 -8.339 7.401
C B
5 7
Direct
0.000 0.500 0.407
0.500 0.500 0.846
0.500 0.000 0.245
0.000 0.500 0.078
0.000 0.000 0.013
0.500 0.500 0.156
0.500 0.000 0.937
0.000 0.500 0.779
0.000 0.000 0.314
0.500 0.500 0.474
0.500 0.000 0.578
0.000 0.000 0.674
```

Calculated values
DOS(E_F)   1.60 states/eV/cell
M_tot   0.00 μB per formula unit
Total energy   -7.34 eV/atom
Calculated volume   81 Å³ per cell
Space group   Pmm2, No. 25
Relative energy among the computed polymorphs   22.5 kJ per mole of atoms

(3)
A relaxed BC crystal. Source: Alexandria via LeMat-Bulk, functional PBE.

Cell and atoms, written as POSCAR:
```
BC
1.0
-6.081 0.611 0.534
-5.727 -1.971 0.976
2.243 1.133 4.826
B C
6 6
Direct
0.898 0.898 0.266
0.899 0.899 0.637
0.278 0.278 0.390
0.327 0.327 0.717
0.017 0.017 0.925
0.653 0.653 0.333
0.333 0.333 0.163
0.246 0.246 0.891
0.010 0.010 0.515
0.585 0.585 0.552
0.585 0.585 0.023
0.669 0.669 0.839
```

Calculated values
DOS(E_F)   1.47 states/eV/cell
M_tot   0.00 μB per formula unit
Total energy   -7.58 eV/atom
Calculated volume   82 Å³ per cell
Space group   Cm, No. 8
Relative energy among the computed polymorphs   21.1 kJ per mole of atoms

(4)
A relaxed BC crystal. Source: Alexandria via LeMat-Bulk, functional PBE.

Cell and atoms, written as POSCAR:
```
BC
1.0
3.691 -0.146 -2.196
2.866 2.331 -2.196
-0.069 -0.023 8.640
B C
6 6
Direct
0.041 0.041 0.973
0.503 0.503 0.423
0.336 0.336 0.180
0.327 0.327 0.668
0.869 0.869 0.051
0.626 0.626 0.298
0.134 0.134 0.195
0.689 0.689 0.827
0.981 0.981 0.523
0.168 0.168 0.718
0.798 0.798 0.530
0.528 0.528 0.864
```

Calculated values
DOS(E_F)   1.44 states/eV/cell
M_tot   0.00 μB per formula unit
Total energy   -7.58 eV/atom
Calculated volume   78 Å³ per cell
Space group   Cm, No. 8
Relative energy among the computed polymorphs   21.3 kJ per mole of atoms

(5)
A relaxed B7C5 crystal. Source: Alexandria via LeMat-Bulk, functional PBE.

Cell and atoms, written as POSCAR:
```
B7C5
1.0
2.448 0.000 0.000
0.000 2.448 0.000
0.000 0.000 13.518
B C
7 5
Direct
0.500 0.500 0.147
0.500 0.500 0.853
0.000 0.000 0.344
0.000 0.000 0.656
0.000 0.500 0.757
0.500 0.500 0.500
0.500 0.000 0.243
0.000 0.500 0.066
0.000 0.500 0.420
0.500 0.000 0.580
0.000 0.000 0.000
0.500 0.000 0.934
```

Calculated values
DOS(E_F)   3.61 states/eV/cell
M_tot   0.00 μB per formula unit
Total energy   -7.31 eV/atom
Calculated volume   81 Å³ per cell
Space group   P-4m2, No. 115
Relative energy among the computed polymorphs   25.9 kJ per mole of atoms

(6)
A relaxed B7C5 crystal. Source: Alexandria via LeMat-Bulk, functional PBE.

Cell and atoms, written as POSCAR:
```
B7C5
1.0
-0.733 -1.773 1.642
2.438 0.209 -0.628
2.058 9.475 11.152
B C
7 5
Direct
0.000 0.000 0.465
0.333 0.667 0.657
0.667 0.333 0.730
0.000 0.000 0.916
0.333 0.667 0.543
0.667 0.333 0.843
0.000 0.000 0.350
0.667 0.333 0.301
0.333 0.667 0.059
0.333 0.667 0.163
0.667 0.333 0.200
0.000 0.000 0.023
```

Calculated values
DOS(E_F)   1.68 states/eV/cell
M_tot   0.00 μB per formula unit
Total energy   -7.25 eV/atom
Calculated volume   82 Å³ per cell
Space group   P3m1, No. 156
Relative energy among the computed polymorphs   31.1 kJ per mole of atoms

(7)
A relaxed BC11 crystal. Source: Alexandria via LeMat-Bulk, functional PBE.

Cell and atoms, written as POSCAR:
```
BC11
1.0
0.077 2.346 -3.734
-2.347 -3.729 0.198
-2.552 2.628 2.487
C B
11 1
Direct
0.210 0.533 0.628
0.708 0.042 0.126
0.866 0.876 0.628
0.333 0.665 0.998
0.834 0.168 0.501
0.667 0.333 0.999
0.376 0.375 0.126
0.998 0.000 0.998
0.552 0.218 0.628
0.501 0.501 0.501
0.041 0.707 0.115
0.165 0.832 0.500
```

Calculated values
DOS(E_F)   2.30 states/eV/cell
M_tot   0.00 μB per formula unit
Total energy   -8.79 eV/atom
Calculated volume   70 Å³ per cell
Space group   Cm, No. 8
Relative energy among the computed polymorphs   3.4 kJ per mole of atoms

(8)
A relaxed BC crystal. Source: Alexandria via LeMat-Bulk, functional PBE.

Cell and atoms, written as POSCAR:
```
BC
1.0
6.647 1.068 6.613
7.254 -1.337 5.885
8.215 0.686 4.594
B C
4 4
Direct
0.739 0.739 0.739
0.940 0.940 0.940
0.443 0.443 0.443
0.504 0.504 0.504
0.248 0.248 0.248
0.998 0.998 0.998
0.197 0.197 0.197
0.682 0.682 0.682
```

Calculated values
DOS(E_F)   2.36 states/eV/cell
M_tot   0.00 μB per formula unit
Total energy   -7.50 eV/atom
Calculated volume   54 Å³ per cell
Space group   R3m, No. 160
Relative energy among the computed polymorphs   29.2 kJ per mole of atoms